Entry 1:
DFT (PBE-GGA) results for a geometry-optimized BaLiW2 structure.

abc: 2.814 2.814 10.430
angles: 90.00 90.00 100.58
Element x y z (fractional)
Ba1 0.500 0.500 0.250
Li1 0.500 0.500 0.750
W1 0.000 0.000 0.963
W2 0.000 0.000 0.537

Calculated values
Spin magnetization ... 0.000 μB/f.u.
Formation enthalpy at 0 K ... 517 kJ/mol of formula units
Electronic total energy ... -6.10 eV per atom
D(E_F) ... 0.895 states/eV/atom



Entry 2:
DFT (PBE-GGA) results for a geometry-optimized BaLi2W structure.

abc: 3.043 5.459 5.644
angles: 90.00 90.00 90.00
Element x y z (fractional)
Ba1 0.000 0.500 0.500
Li1 0.000 0.000 0.000
Li2 0.500 0.500 0.000
W1 0.500 0.000 0.500

Calculated values
Spin magnetization ... 0.000 μB/f.u.
Formation enthalpy at 0 K ... 423 kJ/mol of formula units
Electronic total energy ... -3.58 eV per atom
D(E_F) ... 0.762 states/eV/atom



Entry 3:
DFT (PBE-GGA) results for a geometry-optimized BaLi2W structure.

abc: 3.014 3.014 9.847
angles: 90.00 90.00 90.00
Element x y z (fractional)
Ba1 0.500 0.500 0.730
Li1 0.000 0.000 0.056
Li2 0.500 0.500 0.261
W1 0.000 0.000 0.452

Calculated values
Spin magnetization ... 0.000 μB/f.u.
Formation enthalpy at 0 K ... 316 kJ/mol of formula units
Electronic total energy ... -3.86 eV per atom
D(E_F) ... 0.482 states/eV/atom



Entry 4:
DFT (PBE-GGA) results for a geometry-optimized BaLiW2 structure.

abc: 3.028 3.028 10.428
angles: 90.00 90.00 112.64
Element x y z (fractional)
Ba1 0.000 0.000 0.482
Li1 0.500 0.500 0.801
W1 0.000 0.000 0.018
W2 0.500 0.500 0.200

Calculated values
Spin magnetization ... 0.000 μB/f.u.
Formation enthalpy at 0 K ... 323 kJ/mol of formula units
Electronic total energy ... -6.60 eV per atom
D(E_F) ... 1.001 states/eV/atom



Entry 5:
DFT (PBE-GGA) results for a geometry-optimized BaLi2W structure.

abc: 5.199 5.199 5.199
angles: 60.00 60.00 60.00
Last column: magnetic moment on the atom in μB.
Element x y z (fractional)
Ba1 0.500 0.500 0.500  0.04
Li1 0.000 0.000 0.000  -0.03
Li2 0.250 0.250 0.250  -0.05
W1 0.750 0.750 0.750  2.23

Calculated values
Spin magnetization ... 2.628 μB/f.u.
Formation enthalpy at 0 K ... 441 kJ/mol of formula units
Electronic total energy ... -3.53 eV per atom
D(E_F) ... 0.696 states/eV/atom



Entry 6:
DFT (PBE-GGA) results for a geometry-optimized BaLiW2 structure.

abc: 3.435 3.435 7.387
angles: 90.00 90.00 90.00
Element x y z (fractional)
Ba1 0.500 0.500 0.250
Li1 0.500 0.500 0.750
W1 0.000 0.000 0.904
W2 0.000 0.000 0.596

Calculated values
Spin magnetization ... 0.000 μB/f.u.
Formation enthalpy at 0 K ... 474 kJ/mol of formula units
Electronic total energy ... -6.21 eV per atom
D(E_F) ... 0.995 states/eV/atom